Entry i
Compound: TbTm7Th3
Source: Alexandria
Functional: PBE
Structure: relaxed

* magnetic moment: 0.000 μB/atom

Cell lengths 8.4552, 7.0088, 7.0088 Å; angles 120.00, 90.00, 90.00 degrees
With the nearest neighbours (Å) after each atom.
Fractional coordinates of all 11 atoms:
Tb1 0.4536 0.3333 0.6667  3 Th 3.45, 9 Tm 3.50
Tm1 0.1153 0.1675 0.8325  2 Th 3.46, 8 Tm 3.49-3.52, 1 Tb 3.50
Tm2 0.1153 0.1675 0.3349  2 Th 3.46, 8 Tm 3.49-3.52, 1 Tb 3.50
Tm3 0.1138 0.6667 0.3333  3 Th 3.44, 9 Tm 3.48-3.50
Tm4 0.4501 0.8322 0.1678  2 Th 3.47, 7 Tm 3.48-3.53, 2 Tb 3.50
Tm5 0.4501 0.3356 0.1678  2 Th 3.47, 7 Tm 3.48-3.53, 2 Tb 3.50
Tm6 0.4501 0.8322 0.6644  2 Th 3.47, 7 Tm 3.48-3.53, 2 Tb 3.50
Tm7 0.1153 0.6651 0.8325  2 Th 3.46, 8 Tm 3.49-3.52, 1 Tb 3.50
Th1 0.7838 0.5006 0.4994  5 Tm 3.44-3.47, 1 Tb 3.45, 4 Th 3.49-3.52
Th2 0.7838 0.5006 0.0012  5 Tm 3.44-3.47, 1 Tb 3.45, 4 Th 3.49-3.52
Th3 0.7838 0.9988 0.4994  5 Tm 3.44-3.47, 1 Tb 3.45, 4 Th 3.49-3.52


Entry ii
Compound: TbTm7Th3
Source: Alexandria
Functional: PBE
Structure: relaxed

* magnetic moment: 0.000 μB/atom

Cell lengths 5.4624, 10.0324, 8.7739 Å; angles 105.63, 128.49, 90.00 degrees
With the nearest neighbours (Å) after each atom.
Fractional coordinates of all 11 atoms:
Tb1 0.5000 0.5000 0.5000  2 Th 3.43, 10 Tm 3.46-3.80
Tm1 0.9164 0.8298 0.9164  3 Tm 3.21-3.27, 5 Th 3.51-3.55, 1 Tb 3.55
Tm2 0.8455 0.7069 0.3457  3 Tm 3.26-3.51, 2 Th 3.33-3.39
Tm3 0.6853 0.3609 0.1853  5 Tm 3.26-3.51, 2 Tb 3.46, 2 Th 3.50
Tm4 0.3147 0.6391 0.8147  5 Tm 3.26-3.51, 2 Tb 3.46, 2 Th 3.50
Tm5 0.5000 0.0000 0.5000  4 Th 3.33
Tm6 0.1545 0.2931 0.6543  3 Tm 3.26-3.51, 2 Th 3.33-3.39
Tm7 0.0836 0.1702 0.0836  3 Tm 3.21-3.27, 5 Th 3.51-3.55, 1 Tb 3.55
Th1 0.2783 0.0002 0.7784  1 Th 3.04, 4 Tm 3.33-3.39
Th2 0.0000 0.5000 0.0000  2 Tb 3.43, 10 Tm 3.50-3.74
Th3 0.7217 0.9998 0.2216  1 Th 3.04, 4 Tm 3.33-3.39


Most stable: entry ii. Least stable: entry i.


Entry i
Compound: Tb7Tm4Th
Source: Alexandria
Functional: PBE
Structure: relaxed

* magnetic moment: 0.000 μB/atom

Cell lengths 7.1399, 9.4386, 8.8045 Å; angles 81.11, 90.06, 40.86 degrees
With the nearest neighbours (Å) after each atom.
Fractional coordinates of all 12 atoms:
Tb1 0.7474 0.5001 0.0002  7 Tb 3.50-3.61, 3 Tm 3.52-3.56, 2 Th 3.56
Tb2 0.2526 0.4999 0.9998  7 Tb 3.50-3.61, 3 Tm 3.52-3.56, 2 Th 3.56
Tb3 0.9728 0.2768 0.6670  6 Tm 3.49-3.57, 1 Th 3.51, 5 Tb 3.51-3.59
Tb4 0.0272 0.7232 0.3330  6 Tm 3.49-3.57, 1 Th 3.51, 5 Tb 3.51-3.59
Tb5 0.2195 0.7804 0.6684  6 Tb 3.50-3.59, 1 Th 3.50, 5 Tm 3.54-3.60
Tb6 0.5000 0.0000 0.0000  4 Tm 3.50-3.55, 6 Tb 3.51-3.58, 2 Th 3.57
Tb7 0.7805 0.2196 0.3316  6 Tb 3.50-3.59, 1 Th 3.50, 5 Tm 3.54-3.60
Tm1 0.5261 0.7245 0.3320  3 Tm 3.49-3.57, 8 Tb 3.50-3.60, 1 Th 3.50
Tm2 0.4739 0.2755 0.6680  3 Tm 3.49-3.57, 8 Tb 3.50-3.60, 1 Th 3.50
Tm3 0.7209 0.7790 0.6624  4 Tm 3.45-3.57, 8 Tb 3.49-3.57
Tm4 0.2791 0.2210 0.3376  4 Tm 3.45-3.57, 8 Tb 3.49-3.57
Th1 0.0000 0.0000 0.0000  10 Tb 3.50-3.57, 2 Tm 3.50


Entry ii
Compound: Tb7Tm4Th
Source: Alexandria
Functional: PBE
Structure: relaxed

* magnetic moment: 0.000 μB/atom

Cell lengths 3.5395, 3.5395, 34.6124 Å; angles 90.00, 90.00, 120.00 degrees
With the nearest neighbours (Å) after each atom.
Fractional coordinates of all 12 atoms:
Tb1 0.0000 0.0000 0.0000  6 Tm 3.52, 6 Tb 3.54
Tb2 0.6667 0.3333 0.5831  3 Th 3.53, 6 Tb 3.54, 3 Tm 3.57
Tb3 0.3333 0.6667 0.4169  3 Th 3.53, 6 Tb 3.54, 3 Tm 3.57
Tb4 0.6667 0.3333 0.8345  3 Tm 3.52, 9 Tb 3.54-3.56
Tb5 0.3333 0.6667 0.1655  3 Tm 3.52, 9 Tb 3.54-3.56
Tb6 0.0000 0.0000 0.2497  3 Tm 3.51, 9 Tb 3.54-3.56
Tb7 0.0000 0.0000 0.7503  3 Tm 3.51, 9 Tb 3.54-3.56
Tm1 0.6667 0.3333 0.0828  6 Tb 3.52, 6 Tm 3.54
Tm2 0.3333 0.6667 0.9172  6 Tb 3.52, 6 Tm 3.54
Tm3 0.6667 0.3333 0.3323  6 Tb 3.51-3.57, 6 Tm 3.54
Tm4 0.3333 0.6667 0.6677  6 Tb 3.51-3.57, 6 Tm 3.54
Th1 0.0000 0.0000 0.5000  6 Tb 3.53, 6 Th 3.54


Most stable: entry i. Least stable: entry ii.


Entry i
Compound: Tb4Tm4Th3
Source: Alexandria
Functional: PBE
Structure: relaxed

* magnetic moment: 0.000 μB/atom

Cell lengths 5.6051, 6.5825, 10.5774 Å; angles 90.00, 90.00, 115.20 degrees
With the nearest neighbours (Å) after each atom.
Fractional coordinates of all 11 atoms:
Tb1 0.7460 0.4920 0.7844  4 Tm 3.18-3.41, 2 Tb 3.37-3.46, 2 Th 3.48
Tb2 0.7460 0.4920 0.2156  4 Tm 3.18-3.41, 2 Tb 3.37-3.46, 2 Th 3.48
Tb3 0.8899 0.7798 0.5000  3 Tm 3.33-3.38, 2 Tb 3.46, 4 Th 3.62
Tb4 0.9537 0.9074 0.0000  2 Tm 3.08, 2 Tb 3.37
Tm1 0.6106 0.2212 0.5000  2 Th 3.32, 3 Tb 3.33-3.41, 4 Tm 3.53
Tm2 0.5605 0.1210 0.0000  4 Tb 3.08-3.18
Tm3 0.1084 0.2169 0.7032  4 Tb 3.36-3.64, 2 Tm 3.53, 4 Th 3.57-3.68
Tm4 0.1084 0.2169 0.2968  4 Tb 3.36-3.64, 2 Tm 3.53, 4 Th 3.57-3.68
Th1 0.4079 0.8158 0.2848  5 Tm 3.32-3.68, 4 Tb 3.48-3.62, 1 Th 3.50
Th2 0.4079 0.8158 0.7151  5 Tm 3.32-3.68, 4 Tb 3.48-3.62, 1 Th 3.50
Th3 0.2591 0.5181 0.0000  2 Th 3.50, 5 Tm 3.59-3.67, 7 Tb 3.62-3.64


Entry ii
Compound: Tb4Tm4Th3
Source: Alexandria
Functional: PBE
Structure: relaxed

* magnetic moment: 0.000 μB/atom

Cell lengths 3.5523, 5.6665, 17.9368 Å; angles 99.09, 101.41, 90.01 degrees
With the nearest neighbours (Å) after each atom.
Fractional coordinates of all 11 atoms:
Tb1 0.6974 0.0984 0.1965  4 Tm 3.37-3.64, 4 Th 3.53, 2 Tb 3.55
Tb2 0.0600 0.2799 0.5601  6 Tm 3.50-3.60, 4 Tb 3.52-3.55, 2 Th 3.57
Tb3 0.9400 0.7201 0.4399  6 Tm 3.50-3.60, 4 Tb 3.52-3.55, 2 Th 3.57
Tb4 0.3026 0.9017 0.8035  4 Tm 3.37-3.64, 4 Th 3.53, 2 Tb 3.55
Tm1 0.5925 0.5459 0.0913  1 Tm 3.17, 2 Tb 3.37, 2 Th 3.45
Tm2 0.4075 0.4541 0.9087  1 Tm 3.17, 2 Tb 3.37, 2 Th 3.45
Tm3 0.6202 0.8102 0.6206  2 Th 3.49, 8 Tb 3.50-3.64, 2 Tm 3.55
Tm4 0.3798 0.1898 0.3794  2 Th 3.49, 8 Tb 3.50-3.64, 2 Tm 3.55
Th1 0.2625 0.6310 0.2616  4 Tm 3.45-3.49, 6 Tb 3.53-3.57, 2 Th 3.55
Th2 0.7375 0.3691 0.7384  4 Tm 3.45-3.49, 6 Tb 3.53-3.57, 2 Th 3.55
Th3 0.0000 0.0000 0.0000  2 Th 3.55, 8 Tm 3.70, 4 Tb 3.84-3.85


Most stable: entry ii. Least stable: entry i.


Entry i
Compound: Tb3Tm7Th
Source: Alexandria
Functional: PBE
Structure: relaxed

* magnetic moment: 0.000 μB/atom

Cell lengths 8.5819, 6.9611, 6.9611 Å; angles 120.00, 90.00, 90.00 degrees
With the nearest neighbours (Å) after each atom.
Fractional coordinates of all 11 atoms:
Tb1 0.7822 0.4987 0.5013  4 Tb 3.45-3.51, 1 Th 3.50, 5 Tm 3.51-3.52
Tb2 0.7822 0.4987 0.9974  4 Tb 3.45-3.51, 1 Th 3.50, 5 Tm 3.51-3.52
Tb3 0.7822 0.0026 0.5013  4 Tb 3.45-3.51, 1 Th 3.50, 5 Tm 3.51-3.52
Tm1 0.1213 0.1688 0.8312  1 Th 3.43, 8 Tm 3.44-3.53, 2 Tb 3.52
Tm2 0.1213 0.1688 0.3377  1 Th 3.43, 8 Tm 3.44-3.53, 2 Tb 3.52
Tm3 0.1170 0.6667 0.3333  9 Tm 3.47-3.48, 3 Tb 3.52
Tm4 0.4469 0.8327 0.1673  7 Tm 3.45-3.49, 2 Th 3.48, 2 Tb 3.51
Tm5 0.4469 0.3346 0.1673  7 Tm 3.45-3.49, 2 Th 3.48, 2 Tb 3.51
Tm6 0.4469 0.8327 0.6654  7 Tm 3.45-3.49, 2 Th 3.48, 2 Tb 3.51
Tm7 0.1213 0.6623 0.8312  1 Th 3.43, 8 Tm 3.44-3.53, 2 Tb 3.52
Th1 0.4470 0.3333 0.6667  9 Tm 3.43-3.48, 3 Tb 3.50


Entry ii
Compound: Tb3Tm7Th
Source: Alexandria
Functional: PBE
Structure: relaxed

* magnetic moment: 0.000 μB/atom

Cell lengths 5.4318, 9.9184, 8.7801 Å; angles 105.96, 128.20, 90.00 degrees
With the nearest neighbours (Å) after each atom.
Fractional coordinates of all 11 atoms:
Tb1 0.2827 0.0034 0.7830  1 Tb 3.02, 4 Tm 3.30-3.35
Tb2 0.0000 0.5000 0.0000  2 Th 3.45, 10 Tm 3.45-3.79
Tb3 0.7173 0.9966 0.2170  1 Tb 3.02, 4 Tm 3.30-3.35
Tm1 0.9088 0.8298 0.9088  3 Tm 3.16-3.24, 5 Tb 3.48-3.54, 1 Th 3.49
Tm2 0.8658 0.7095 0.3658  3 Tm 3.25-3.55, 2 Tb 3.30-3.35
Tm3 0.6745 0.3600 0.1745  5 Tm 3.24-3.55, 3 Tb 3.45-3.62, 2 Th 3.49
Tm4 0.3255 0.6400 0.8255  5 Tm 3.24-3.55, 3 Tb 3.45-3.62, 2 Th 3.49
Tm5 0.5000 0.0000 0.5000  4 Tb 3.34
Tm6 0.1342 0.2905 0.6342  3 Tm 3.25-3.55, 2 Tb 3.30-3.35
Tm7 0.0912 0.1702 0.0912  3 Tm 3.16-3.24, 5 Tb 3.48-3.54, 1 Th 3.49
Th1 0.5000 0.5000 0.5000  2 Tb 3.45, 10 Tm 3.49-3.73


Most stable: entry ii. Least stable: entry i.